First-principles (PBE) data for a relaxed structure of La2GaAu5, as listed in the Alexandria database.

Cell and atoms, written as extended XYZ:
```
8
Lattice="4.419 -4.626 0.000 4.419 4.626 0.000 -4.405 0.000 4.644" Properties=species:S:1:pos:R:3 pbc="T T T"
La 4.419 2.319 0.000
La 4.419 -2.319 0.000
Ga 5.980 0.000 2.323
Au -0.121 0.000 2.327
Au 2.222 0.000 0.274
Au 2.222 2.025 2.323
Au 2.222 -2.025 2.323
Au 2.225 0.000 4.369
```

DFT formation energy = -0.570 eV/atom

First-principles (PBE) data for a relaxed structure of Ca2Hg2Au, as listed in the Alexandria database.

Cell and atoms, written as extended XYZ:
```
5
Lattice="-2.047 2.047 8.475 2.047 -2.047 8.475 2.047 2.047 -8.475" Properties=species:S:1:pos:R:3 pbc="T T T"
Ca 0.000 0.000 1.663
Ca 0.000 0.000 15.288
Hg 2.047 0.000 4.238
Hg 0.000 2.047 4.238
Au 0.000 0.000 8.475
```

DFT formation energy = -0.393 eV/atom

First-principles (PBE) data for a relaxed structure of SrHgGe, as listed in the Alexandria database.

Cell and atoms, written as extended XYZ:
```
3
Lattice="4.607 0.000 0.000 -2.303 3.990 0.000 0.000 0.000 4.638" Properties=species:S:1:pos:R:3 pbc="T T T"
Sr 0.000 0.000 0.000
Hg 2.303 1.330 2.241
Ge 0.000 2.660 2.421
```

DFT formation energy = -0.456 eV/atom

First-principles (PBE) data for a relaxed structure of Mg6ZrFe, as listed in the Alexandria database.

Cell and atoms, written as extended XYZ:
```
8
Lattice="4.855 0.000 0.000 0.000 3.063 5.573 0.000 -3.063 5.573" Properties=species:S:1:pos:R:3 pbc="T T T"
Mg 0.000 0.000 0.000
Mg 0.000 -1.576 8.259
Mg 0.000 1.576 8.259
Mg 2.428 -1.496 6.558
Mg 2.428 1.496 6.558
Mg 2.428 0.000 9.370
Zr 0.000 0.000 5.295
Fe 2.428 0.000 3.961
```

DFT formation energy = 0.136 eV/atom

First-principles (PBE) data for a relaxed structure of Na2Co3Se4, as listed in the Alexandria database.

Cell and atoms, written as extended XYZ:
```
9
Lattice="0.000 5.054 6.409 2.856 0.000 6.409 2.856 5.054 0.000" Properties=species:S:1:pos:R:3 pbc="T T T"
Na 2.856 5.054 1.685
Na 2.856 5.054 11.134
Co 1.428 2.527 0.000
Co 1.428 2.527 6.409
Co 2.856 5.054 6.409
Se 2.856 3.402 4.783
Se 2.856 3.402 8.036
Se 2.856 6.707 4.783
Se 2.856 6.707 8.036
```

formation energy (no corrections) = -464.0 meV/atom

First-principles (PBE) data for a relaxed structure of ErMgZnRu, as listed in the Alexandria database.

Cell and atoms, written as extended XYZ:
```
4
Lattice="0.000 3.328 3.328 3.328 0.000 3.328 3.328 3.328 0.000" Properties=species:S:1:pos:R:3 pbc="T T T"
Er 0.000 0.000 0.000
Mg 3.328 3.328 3.328
Zn 4.992 4.992 4.992
Ru 1.664 1.664 1.664
```

DFT formation energy = -0.178 eV/atom

First-principles (PBE) data for a relaxed structure of TbSm4Y, as listed in the Alexandria database.

Cell and atoms, written as extended XYZ:
```
6
Lattice="5.830 -5.846 0.000 5.830 5.846 0.000 0.000 0.000 3.472" Properties=species:S:1:pos:R:3 pbc="T T T"
Tb 0.000 0.000 0.000
Sm 2.783 0.000 1.736
Sm 5.830 2.804 0.000
Sm 5.830 -2.804 0.000
Sm 8.877 0.000 1.736
Y 5.830 0.000 1.736
```

DFT formation energy = 0.654 eV/atom

First-principles (PBE) data for a relaxed structure of Cs2NpSe2Br2, as listed in the Alexandria database.

Cell and atoms, written as extended XYZ:
```
7
Lattice="-2.769 2.769 9.253 2.769 -2.769 9.253 2.769 2.769 -9.253" Properties=species:S:1:pos:R:3 pbc="T T T"
Cs 0.000 0.000 2.583
Cs 0.000 0.000 15.923
Np 0.000 0.000 9.253
Se 2.769 0.000 0.000
Se 0.000 2.769 0.000
Br 0.000 0.000 6.338
Br 0.000 0.000 12.168
```

formation energy (no corrections) = -1432.9 meV/atom